# 1
First-principles (PBE) data for Sr2HfCrP after structural relaxation, as listed in Alexandria.

Cell lengths 5.935, 5.935, 4.437 Å; angles 90.00, 90.00, 90.00 degrees
Element x y z (fractional)
Sr1 0.000 0.500 0.000
Sr2 0.500 0.000 0.000
Hf1 0.000 0.000 0.500
Cr1 0.500 0.500 0.500
P1 0.500 0.500 0.000

## Properties
The value obtained for the calculated formation energy is 10.10 kcal/mol of atoms. Its density of states at the Fermi level is 1.354 states/eV per atom.


# 2
First-principles (PBE) data for Pr7FeCl12 after structural relaxation, as listed in Alexandria.

Cell lengths 9.272, 9.272, 9.272 Å; angles 106.43, 106.43, 106.43 degrees
Element x y z (fractional)
Pr1 0.000 0.000 0.000
Pr2 0.190 0.486 0.392
Pr3 0.392 0.190 0.486
Pr4 0.486 0.392 0.190
Pr5 0.514 0.608 0.810
Pr6 0.608 0.810 0.514
Pr7 0.810 0.514 0.608
Fe1 0.500 0.500 0.500
Cl1 0.043 0.128 0.327
Cl2 0.128 0.327 0.043
Cl3 0.182 0.579 0.710
Cl4 0.290 0.818 0.421
Cl5 0.327 0.043 0.128
Cl6 0.421 0.290 0.818
Cl7 0.579 0.710 0.182
Cl8 0.673 0.957 0.872
Cl9 0.710 0.182 0.579
Cl10 0.818 0.421 0.290
Cl11 0.872 0.673 0.957
Cl12 0.957 0.872 0.673

## Properties
The raw formation energy comes out at -1.851 eV/atom. Its density of states at the Fermi level is 0.540 states/eV per atom.


# 3
First-principles (PBE) data for Dy4OsRh3 after structural relaxation, as listed in Alexandria.

Cell lengths 3.432, 3.432, 13.587 Å; angles 90.00, 90.00, 90.00 degrees
Element x y z (fractional)
Dy1 0.000 0.000 0.123
Dy2 0.000 0.000 0.375
Dy3 0.000 0.000 0.625
Dy4 0.000 0.000 0.877
Os1 0.500 0.500 0.000
Rh1 0.500 0.500 0.254
Rh2 0.500 0.500 0.500
Rh3 0.500 0.500 0.746

## Properties
The value obtained for the calculated formation energy is -15.91 kcal/mol of atoms. Its density of states at the Fermi level is 0.471 states/eV per atom.


# 4
First-principles (PBE) data for Tl2RhCl after structural relaxation, as listed in Alexandria.

Cell lengths 8.694, 8.694, 8.694 Å; angles 24.13, 24.13, 24.13 degrees
Element x y z (fractional)
Tl1 0.000 0.000 0.000
Tl2 0.227 0.227 0.227
Rh1 0.493 0.493 0.493
Cl1 0.758 0.758 0.758

## Properties
Its offset from the most stable computed form is 224 meV/atom. The raw formation energy comes out at 0.055 eV/atom. Its density of states at the Fermi level is 0.774 states/eV per atom.


Number 1: magnetization 0.60 μB/cell. Number 2: magnetization 1.05 μB/cell. Number 3: magnetization 0.00 μB/cell. Number 4: magnetization 0.00 μB/cell.